1.
# GGA-PBE Ti12Ga3Co, optimized geometry
data_Ti12Ga3Co
_space_group_name_H-M_alt 'P 4/m m m'
_space_group_IT_number 123
_space_group_name_Hall '-P 4 2'
_cell_length_a 4.0175
_cell_length_b 4.0175
_cell_length_c 15.8256
_cell_angle_alpha 90.00
_cell_angle_beta 90.00
_cell_angle_gamma 90.00
loop_
_atom_site_label
_atom_site_type_symbol
_atom_site_fract_x
_atom_site_fract_y
_atom_site_fract_z
Ti1 Ti 0.0000 0.0000 0.0000
Ti2 Ti 0.0000 0.0000 0.2447
Ti3 Ti 0.0000 0.0000 0.5000
Ti4 Ti 0.0000 0.5000 0.1176
Ti5 Ti 0.0000 0.5000 0.3736
Ga1 Ga 0.5000 0.5000 0.2448
Ga2 Ga 0.5000 0.5000 0.5000
Co1 Co 0.5000 0.5000 0.0000
# energy: -114.708 eV for the cell shown
# M_tot: 0.77 μB/f.u.



2.
# GGA-PBE Zr2AgIrW, optimized geometry
data_Zr2AgIrW
_space_group_name_H-M_alt 'P 4/m m m'
_space_group_IT_number 123
_space_group_name_Hall '-P 4 2'
_cell_length_a 4.9558
_cell_length_b 4.9558
_cell_length_c 4.7234
_cell_angle_alpha 90.00
_cell_angle_beta 90.00
_cell_angle_gamma 90.00
loop_
_atom_site_label
_atom_site_type_symbol
_atom_site_fract_x
_atom_site_fract_y
_atom_site_fract_z
Zr1 Zr 0.0000 0.5000 0.0000
Ag1 Ag 0.0000 0.0000 0.0000
Ir1 Ir 0.0000 0.0000 0.5000
W1 W 0.5000 0.5000 0.5000
# energy: -32.987 eV for the cell shown
# M_tot: 0.02 μB/f.u.



3.
# GGA-PBE ZnPt2Cl, optimized geometry
data_ZnPt2Cl
_space_group_name_H-M_alt 'P 1 m 1'
_space_group_IT_number 6
_cell_length_a 2.9563
_cell_length_b 2.9842
_cell_length_c 7.6450
_cell_angle_alpha 90.00
_cell_angle_beta 90.00
_cell_angle_gamma 90.00
loop_
_space_group_symop_operation_xyz
'x,y,z'
'x,-y,z'
loop_
_atom_site_label
_atom_site_type_symbol
_atom_site_fract_x
_atom_site_fract_y
_atom_site_fract_z
Zn1 Zn 0.0000 0.0000 0.0000
Pt1 Pt 0.0001 0.0000 0.5437
Pt2 Pt 0.4994 0.5000 0.7925
Cl1 Cl 0.9980 0.5000 0.2633
# energy: -15.541 eV for the cell shown
# energy above the lowest structure with this stoichiometry: 0.0 kJ per mole of atoms
# ΔE_f (raw): -85 meV/atom
# M_tot: 0.00 μB/f.u.



4.
# GGA-PBE Pr8CoC3Cl4, optimized geometry
data_Pr8CoC3Cl4
_space_group_name_H-M_alt 'R -3 m'
_space_group_IT_number 166
_space_group_name_Hall '-R 3 2"'
_cell_length_a 7.7802
_cell_length_b 7.7802
_cell_length_c 21.6492
_cell_angle_alpha 90.00
_cell_angle_beta 90.00
_cell_angle_gamma 120.00
loop_
_atom_site_label
_atom_site_type_symbol
_atom_site_fract_x
_atom_site_fract_y
_atom_site_fract_z
Pr1 Pr 0.0000 0.0000 0.2311
Pr2 Pr 0.0126 0.5063 0.7678
Co1 Co 0.0000 0.0000 0.5000
C1 C 0.0000 0.5000 0.5000
Cl1 Cl 0.0000 0.0000 0.0000
Cl2 Cl 0.0000 0.5000 0.0000
# energy: -284.059 eV for the cell shown
# ΔE_f (raw): -893 meV/atom
# M_tot: 0.00 μB/f.u.



Which of these has the lowest energy? Pr8CoC3Cl4



What is the M_tot in the fourth record? 0.00 μB/f.u.



Number 1 is which compound? Ti12Ga3Co